Entry 1:
Material: Mg2MnP2
Method: DFT, PBE
State: relaxed

abc: 5.9414 5.9414 4.2084
angles: 90.00 90.00 90.00
With the nearest neighbours (Å) after each atom.
Fractional coordinates of all 10 atoms:
Mg (0.1826, 0.3174, 0.0000)  6 P 2.59-2.85
Mg (0.3174, 0.8174, 0.0000)  6 P 2.59-2.85
Mg (0.6826, 0.1826, 0.0000)  6 P 2.59-2.85
Mg (0.8174, 0.6826, 0.0000)  6 P 2.59-2.85
Mn (0.0000, 0.0000, 0.5000)  4 P 2.31
Mn (0.5000, 0.5000, 0.5000)  4 P 2.31
P (0.1370, 0.6370, 0.5000)  1 P 2.30, 2 Mn 2.31
P (0.3630, 0.1370, 0.5000)  1 P 2.30, 2 Mn 2.31
P (0.6370, 0.8630, 0.5000)  1 P 2.30, 2 Mn 2.31
P (0.8630, 0.3630, 0.5000)  1 P 2.30, 2 Mn 2.31

space group = P4/mbm, No. 127

---

Entry 2:
Material: Tb2PmPrHg4
Method: DFT, PBE
State: relaxed

abc: 9.2817 9.2817 9.2817
angles: 33.59 33.59 33.59
With the nearest neighbours (Å) after each atom.
Fractional coordinates of all 8 atoms:
Tb (0.2501, 0.2501, 0.2501)  8 Hg 3.25-3.31
Tb (0.7499, 0.7499, 0.7499)  8 Hg 3.25-3.31
Pm (0.0000, 0.0000, 0.0000)  8 Hg 3.25-3.27
Pr (0.5000, 0.5000, 0.5000)  8 Hg 3.29-3.31
Hg (0.1239, 0.1239, 0.1239)  1 Pm 3.25, 4 Tb 3.28-3.31, 3 Pr 3.29
Hg (0.3739, 0.3739, 0.3739)  4 Tb 3.25-3.29, 3 Pm 3.27, 1 Pr 3.31
Hg (0.6261, 0.6261, 0.6261)  4 Tb 3.25-3.29, 3 Pm 3.27, 1 Pr 3.31
Hg (0.8761, 0.8761, 0.8761)  1 Pm 3.25, 4 Tb 3.28-3.31, 3 Pr 3.29

space group = R-3m, No. 166

---

Number 1: D(E_F) 0.29 states/eV per atom, uncorrected energy -5.0245 eV per atom. Number 2: D(E_F) 1.21 states/eV per atom, uncorrected energy -2.9695 eV per atom.